--- A ---
A relaxed structure of Sr3ZnRh, computed with PBE.

The structure in POSCAR format:
```
Sr3ZnRh
1.0
-1.4253 2.3932 -3.5172
-6.3026 0.8721 3.1474
3.4264 8.6387 4.4895
Sr Zn Rh
6 2 2
Direct
0.7500 0.7733 0.2500
0.7500 0.2300 0.0600
0.7500 0.2298 0.4400
0.2500 0.7702 0.5600
0.2500 0.7700 0.9400
0.2500 0.2267 0.7500
0.2500 0.4283 0.2499
0.7500 0.5717 0.7501
0.7500 0.9247 0.7499
0.2500 0.0753 0.2501
```

## Properties
The density of states at the Fermi level is 6.66 states/eV/cell. As for the space-group type: P2_1/m (11).

--- B ---
A relaxed structure of Sr3ZnRh, computed with PBE.

The structure in POSCAR format:
```
Sr3ZnRh
1.0
5.7843 0.0000 0.0000
0.0000 5.7843 0.0000
0.0000 0.0000 5.7843
Sr Rh Zn
3 1 1
Direct
0.5000 0.0000 0.0000
0.0000 0.5000 0.0000
0.0000 0.0000 0.5000
0.0000 0.0000 0.0000
0.5000 0.5000 0.5000
```

## Properties
The density of states at the Fermi level is 2.81 states/eV/cell. As for the space-group type: Pm-3m (221).

Here are the energies relative to the best structure, in eV/atom: A 0.000; B 0.169.

--- A ---
A relaxed structure of BC2, computed with PBE.

The structure in POSCAR format:
```
BC2
1.0
-4.0497 -1.2901 -1.2810
-1.3124 -3.8294 -1.7637
0.6426 -0.7657 5.2519
B C
4 8
Direct
0.3714 0.2464 0.1503
0.6503 0.6774 0.3135
0.1628 0.7504 0.2623
0.0520 0.9977 0.9951
0.5695 0.1055 0.4433
0.2722 0.7427 0.7507
0.9044 0.4762 0.0819
0.9789 0.0124 0.5141
0.3334 0.3425 0.6688
0.9190 0.4131 0.5884
0.6053 0.0704 0.9148
0.6807 0.6653 0.8167
```

## Properties
As for the space-group type: P1 (1).

--- B ---
A relaxed structure of BC2, computed with PBE.

The structure in POSCAR format:
```
BC2
1.0
4.2209 -0.1872 -1.2935
2.5416 3.3751 -1.2935
-0.0042 -0.0020 5.1860
C B
8 4
Direct
0.2750 0.7094 0.7571
0.9166 0.4319 0.0819
0.3365 0.3171 0.6780
0.3204 0.3496 0.1560
0.2906 0.7250 0.2429
0.5681 0.0834 0.9181
0.6829 0.6635 0.3220
0.6504 0.6796 0.8440
0.0518 0.9482 0.5000
0.8747 0.4440 0.5816
0.9771 0.0229 0.0000
0.5560 0.1253 0.4184
```

## Properties
The density of states at the Fermi level is 2.29 states/eV/cell. As for the space-group type: C2 (5).

Here are the energies relative to the best structure, in eV/atom: A 0.000; B 0.026.